Material: KInB2
Method: DFT, PBE
State: relaxed

Values from the calculation:
The energy of formation from the pure elements is 1.1827 eV/atom. Its theoretical density is 3.48 g cm⁻³. As for the distance to the lowest polymorph of the same formula: 0 meV per atom.

Cell: 4.6064 4.6064 8.5310 Å, 74.34 74.34 90.00°
Closest atoms and distances in Å follow each position.
Positions (direct):
1 K 0.5000 0.5000 0.0000  8 B 3.24, 4 In 3.26
2 K 0.2500 0.7500 0.5000  8 B 3.24, 4 In 3.26
3 B 0.8750 0.1250 0.2500  2 In 2.28, 2 B 2.30
4 B 0.8750 0.6250 0.2500  2 In 2.28, 2 B 2.30
5 B 0.3750 0.1250 0.7500  2 In 2.28, 2 B 2.30
6 B 0.8750 0.1250 0.7500  2 In 2.28, 2 B 2.30
7 In 0.0000 0.0000 0.0000  4 B 2.28
8 In 0.7500 0.2500 0.5000  4 B 2.28